(1)
KInGa2Au2 | GGA-PBE | relaxed

The structure belongs to space group P-3m1 (No. 164); the cell edges are 4.5430, 4.5430 and 8.1808 Å and the angles 90.00°, 90.00° and 120.00°. The inequivalent atoms are K at (0.0000, 0.0000, 0.0000), In at (0.0000, 0.0000, 0.5000), Ga at (0.3333, 0.6667, 0.2894) and Au at (0.3333, 0.6667, 0.6782).

The value obtained for the calculated formation energy is -0.2564 eV/atom.

=====

(2)
HgMoOs2 | GGA-PBE | relaxed

The structure belongs to space group Imm2 (No. 44); the cell edges are 2.771, 4.623 and 10.779 Å and the angles 90.00°, 90.00° and 90.00°. The inequivalent atoms are Hg at (0.000, 0.000, 0.000), Mo at (0.000, 0.500, 0.822), Os at (0.000, 0.000, 0.549) and Os at (0.000, 0.500, 0.246).

The value obtained for the calculated formation energy is 0.6905 eV/atom.

=====

(3)
Er2InTc | GGA-PBE | relaxed

The structure belongs to space group P4/mmm (No. 123); the cell edges are 3.535, 3.535 and 7.352 Å and the angles 90.00°, 90.00° and 90.00°. The inequivalent atoms are Er at (0.000, 0.000, 0.215), In at (0.500, 0.500, 0.500) and Tc at (0.500, 0.500, 0.000).

The value obtained for the calculated formation energy is -0.2726 eV/atom.

=====

(4)
Li2TlZnF8 | GGA-PBE | relaxed

The structure belongs to space group I-4m2 (No. 119); the cell edges are 6.558, 6.558 and 7.143 Å and the angles 90.00°, 90.00° and 90.00°. The inequivalent atoms are Li at (0.000, 0.000, 0.000), Li at (0.000, 0.500, 0.250), Tl at (0.000, 0.000, 0.500), Zn at (0.000, 0.500, 0.750), F at (0.000, 0.202, 0.798) and F at (0.000, 0.319, 0.448).

The formation energy (no corrections) is -2101 meV/atom.

=====

(5)
PRhW4 | GGA-PBE | relaxed

The structure belongs to space group F-43m (No. 216); the cell edges are 7.395, 7.395 and 7.395 Å and the angles 90.00°, 90.00° and 90.00°. The inequivalent atoms are P at (0.000, 0.000, 0.000), Rh at (0.250, 0.250, 0.250) and W at (0.125, 0.125, 0.625).

The value obtained for the calculated formation energy is 0.8359 eV/atom.

=====

(6)
Pm6Sn3Pb2 | GGA-PBE | relaxed

The structure belongs to space group I4/mmm (No. 139); the cell edges are 6.029, 6.029 and 21.686 Å and the angles 90.00°, 90.00° and 90.00°. The inequivalent atoms are Pm at (0.000, 0.000, 0.209), Pm at (0.000, 0.500, 0.090), Sn at (0.000, 0.000, 0.349), Sn at (0.000, 0.000, 0.500) and Pb at (0.000, 0.000, 0.068).

The value obtained for the calculated formation energy is -0.1425 eV/atom.

=====

Number 1: DOS(E_F) 3.0 states/eV/f.u.. Number 2: DOS(E_F) 2.6 states/eV/f.u.. Number 3: DOS(E_F) 4.5 states/eV/f.u.. Number 4: DOS(E_F) 6.1 states/eV/f.u.. Number 5: DOS(E_F) 6.6 states/eV/f.u.. Number 6: DOS(E_F) 9.9 states/eV/f.u..